Entry 1:
U4CdRh12, optimized geometry, DFT GGA-PBE; calculated density = 13.175 g/cm3; volume = 289.8 Å³/cell; E_tot = -140.7 eV/f.u.; DOS at the Fermi energy = 1.320 states/eV per atom
1.0
-6.3954 0.0969 -3.3508
3.7309 -5.8138 -2.1022
-1.0286 -0.2534 7.1426
Rh U Cd
12 4 1
direct
0.2500 0.7500 0.5000
0.6992 0.0000 0.6992
0.2500 0.5000 0.7500
0.3008 0.0000 0.3008
0.7500 0.5000 0.2500
0.0000 0.6992 0.6992
0.3008 0.3008 0.0000
0.7500 0.2500 0.5000
0.6992 0.6992 0.0000
0.0000 0.3008 0.3008
0.5000 0.7500 0.2500
0.5000 0.2500 0.7500
0.0000 0.0000 0.5000
0.0000 0.5000 0.0000
0.5000 0.0000 0.0000
0.5000 0.5000 0.5000
0.0000 0.0000 0.0000


Entry 2:
ErThNiAg, optimized geometry, DFT GGA-PBE; calculated density = 10.301 g/cm3; volume = 91.2 Å³/cell; E_tot = -21.4 eV/f.u.; DOS at the Fermi energy = 1.148 states/eV per atom
1.0
-2.8486 -1.3804 3.9383
2.1572 -2.0527 4.0821
0.2265 2.6106 4.3202
Ni Ag Th Er
1 1 1 1
direct
0.2500 0.2500 0.2500
0.7500 0.7500 0.7500
0.0000 0.0000 0.0000
0.5000 0.5000 0.5000


Entry 3:
PmPuCu, optimized geometry, DFT GGA-PBE; offset from the most stable computed form = 202 meV per atom; calculated density = 11.675 g/cm3; volume = 128.7 Å³/cell; E_tot = -22.3 eV/f.u.; DOS at the Fermi energy = 1.554 states/eV per atom
1.0
-1.3554 -1.2864 2.7331
2.8817 0.7461 1.7803
-3.5487 10.6870 1.2650
Cu Pu Pm
2 2 2
direct
0.4640 0.2500 0.9279
0.5360 0.7500 0.0721
0.2355 0.7500 0.4709
0.7645 0.2500 0.5291
0.8891 0.7500 0.7782
0.1109 0.2500 0.2218


Entry 4:
Sr2MgSe, optimized geometry, DFT GGA-PBE; offset from the most stable computed form = 683 meV per atom; calculated density = 3.467 g/cm3; volume = 133.4 Å³/cell; E_tot = -9.3 eV/f.u.; DOS at the Fermi energy = 0.615 states/eV per atom
1.0
-2.3500 3.6915 3.7076
-5.4064 1.7635 -0.7463
-4.1131 -1.7650 3.5865
Mg Se Sr
1 1 2
direct
0.5000 0.5000 0.5000
0.7500 0.7500 0.7500
0.2500 0.2500 0.2500
0.0000 0.0000 0.0000


Entry 5:
SrWSe, optimized geometry, DFT GGA-PBE; offset from the most stable computed form = 142 meV per atom; calculated density = 7.434 g/cm3; volume = 78.3 Å³/cell; E_tot = -17.3 eV/f.u.; DOS at the Fermi energy = 0.732 states/eV per atom
1.0
4.2462 0.0000 0.0000
-2.1231 3.6773 0.0000
0.0000 0.0000 5.0128
Se Sr W
1 1 1
direct
0.0000 0.0000 0.8339
0.3333 0.6667 0.3329
0.6667 0.3333 0.8332


Entry 6:
ZnIn2Ir, optimized geometry, DFT GGA-PBE; calculated density = 10.346 g/cm3; volume = 78.2 Å³/cell; E_tot = -15.1 eV/f.u.; DOS at the Fermi energy = 0.409 states/eV per atom
1.0
9.3564 0.0129 0.0076
8.8265 3.1042 0.0076
8.8265 1.5132 2.7105
In Ir Zn
2 1 1
direct
0.0056 0.0056 0.0056
0.2385 0.2385 0.2385
0.4951 0.4951 0.4951
0.7608 0.7608 0.7608


Entry 7:
Ac2TbNdTe5, optimized geometry, DFT GGA-PBE; calculated density = 6.405 g/cm3; volume = 361.7 Å³/cell; E_tot = -42.4 eV/f.u.; DOS at the Fermi energy = 0.766 states/eV per atom
1.0
5.5268 0.0000 0.0000
0.0000 5.5268 0.0000
0.0000 0.0000 11.8421
Te Tb Nd Ac
5 1 1 2
direct
0.5000 0.5000 0.0000
0.0000 0.0000 0.2485
0.5000 0.0000 0.5000
0.0000 0.5000 0.5000
0.0000 0.0000 0.7515
0.0000 0.0000 0.5000
0.0000 0.0000 0.0000
0.5000 0.5000 0.6971
0.5000 0.5000 0.3029


Entry 8:
SrScOs, optimized geometry, DFT GGA-PBE; offset from the most stable computed form = 0 meV per atom; calculated density = 7.098 g/cm3; volume = 75.5 Å³/cell; E_tot = -18.8 eV/f.u.; DOS at the Fermi energy = 1.108 states/eV per atom
1.0
6.8824 -0.0704 0.0749
6.0645 3.2540 0.0708
0.8179 0.2033 3.3181
Sr Os Sc
1 1 1
direct
0.6377 0.6377 0.3623
0.9788 0.9788 0.0212
0.3836 0.3836 0.6165


Entry 9:
Ca2OsCl, optimized geometry, DFT GGA-PBE; offset from the most stable computed form = 396 meV per atom; calculated density = 5.210 g/cm3; volume = 97.5 Å³/cell; E_tot = -17.5 eV/f.u.; DOS at the Fermi energy = 0.618 states/eV per atom
1.0
6.9359 0.0190 -0.0061
4.4694 5.3040 0.0061
-5.1912 -3.7575 2.6534
Cl Ca Os
1 2 1
direct
0.5052 0.5052 0.0000
0.0355 0.0355 0.0000
0.7215 0.2215 0.5000
0.2378 0.7378 0.5000


Entry 10:
Ba2Ca2Cl, optimized geometry, DFT GGA-PBE; offset from the most stable computed form = 64 meV per atom; calculated density = 2.811 g/cm3; volume = 461.0 Å³/cell; E_tot = -11.9 eV/f.u.; DOS at the Fermi energy = 0.832 states/eV per atom
1.0
8.0051 0.0000 0.0000
0.0000 8.0051 0.0000
0.0000 0.0000 7.1945
Ca Cl Ba
4 2 4
direct
0.1676 0.3324 0.0000
0.6676 0.1676 0.0000
0.3324 0.8324 0.0000
0.8324 0.6676 0.0000
0.0000 0.0000 0.0000
0.5000 0.5000 0.0000
0.1646 0.6646 0.5000
0.8354 0.3354 0.5000
0.3354 0.1646 0.5000
0.6646 0.8354 0.5000


Entry 11:
PmEr4In5, optimized geometry, DFT GGA-PBE; calculated density = 8.702 g/cm3; volume = 264.9 Å³/cell; E_tot = -41.2 eV/f.u.; DOS at the Fermi energy = 0.568 states/eV per atom
1.0
-2.3896 0.6176 -2.8034
2.6790 -0.8309 -2.4665
-5.2437 -18.2437 0.4505
In Er Pm
5 4 1
direct
0.5000 0.5000 0.6960
0.5000 0.5000 0.8924
0.5000 0.5000 0.3040
0.5000 0.5000 0.1076
0.5000 0.5000 0.5000
0.0000 0.0000 0.7944
0.0000 0.0000 0.2056
0.0000 0.0000 0.4020
0.0000 0.0000 0.5980
0.0000 0.0000 0.0000


Entry 12:
Tm6Ge2Te3Se, optimized geometry, DFT GGA-PBE; calculated density = 8.532 g/cm3; volume = 315.4 Å³/cell; E_tot = -64.3 eV/f.u.; DOS at the Fermi energy = 0.336 states/eV per atom
1.0
-3.4386 -0.5229 -2.3034
4.0244 -5.8029 -4.6905
-2.1324 -4.5577 7.9957
Tm Ge Se Te
6 2 1 3
direct
0.6738 0.5637 0.3477
0.9890 0.7596 0.9780
0.0110 0.2404 0.0220
0.3358 0.8932 0.6715
0.6642 0.1068 0.3285
0.3262 0.4363 0.6523
0.8332 0.6687 0.6663
0.1668 0.3313 0.3337
0.5000 0.0000 0.0000
0.1632 0.8334 0.3264
0.8368 0.1666 0.6736
0.5000 0.5000 0.0000


Entry 13:
Pm2SmZn2In2, optimized geometry, DFT GGA-PBE; calculated density = 7.281 g/cm3; volume = 182.6 Å³/cell; E_tot = -24.4 eV/f.u.; DOS at the Fermi energy = 0.496 states/eV per atom
1.0
4.7503 0.0000 0.0000
2.3752 4.1139 0.0000
2.3752 1.3713 9.3463
Zn Pm In Sm
2 2 2 1
direct
0.3986 0.3986 0.8042
0.6014 0.6014 0.1958
0.1278 0.1278 0.6167
0.8722 0.8722 0.3833
0.7351 0.7351 0.7948
0.2649 0.2649 0.2052
0.0000 0.0000 0.0000


Entry 14:
CrCo2Pb, optimized geometry, DFT GGA-PBE; calculated density = 9.107 g/cm3; volume = 137.5 Å³/cell; E_tot = -24.2 eV/f.u.; DOS at the Fermi energy = 1.085 states/eV per atom
1.0
-2.5084 2.2287 -1.9898
0.2873 -2.4061 -3.0573
-7.9985 -4.9812 0.6796
Pb Co Cr
2 4 2
direct
0.7500 0.2500 0.5000
0.0000 0.0000 0.0000
0.8750 0.7857 0.7500
0.2143 0.6250 0.2500
0.3750 0.4643 0.7500
0.5357 0.1250 0.2500
0.5000 0.5000 0.0000
0.2500 0.7500 0.5000


Entry 15:
CsMn2SiPt, optimized geometry, DFT GGA-PBE; calculated density = 6.018 g/cm3; volume = 128.6 Å³/cell; E_tot = -18.0 eV/f.u.; DOS at the Fermi energy = 0.660 states/eV per atom
1.0
-3.0369 -0.9049 -3.7752
1.4735 -5.0830 0.0331
-3.6315 -1.0321 3.1687
Mn Pt Cs Si
2 1 1 1
direct
0.5000 0.0000 0.0000
0.0000 0.0000 0.5000
0.5000 0.5000 0.5000
0.0000 0.0000 0.0000
0.0000 0.5000 0.0000


Entry 16:
KAsAu2S4, optimized geometry, DFT GGA-PBE; calculated density = 4.770 g/cm3; volume = 221.5 Å³/cell; E_tot = -31.5 eV/f.u.
1.0
6.2954 0.0000 0.0000
3.1477 5.9170 -0.4365
3.1477 0.2214 5.9290
S Au As K
4 2 1 1
direct
0.0354 0.8157 0.5029
0.9646 0.4971 0.1843
0.3540 0.1843 0.4971
0.6460 0.5029 0.8157
0.5000 0.3250 0.6750
0.5000 0.6750 0.3250
0.0000 0.5000 0.5000
0.0000 0.0000 0.0000


Entry 17:
SrCaCuF6, optimized geometry, DFT GGA-PBE; calculated density = 3.536 g/cm3; volume = 286.7 Å³/cell; E_tot = -46.6 eV/f.u.; DOS at the Fermi energy = 0.755 states/eV per atom
1.0
5.6487 0.0000 0.0000
-2.8244 4.8920 0.0000
0.0000 0.0000 10.3740
F Ca Sr Cu
12 2 2 2
direct
0.3663 0.0277 0.1390
0.3386 0.9723 0.6390
0.6337 0.6614 0.6390
0.6614 0.0277 0.3610
0.3663 0.3386 0.3610
0.6337 0.9723 0.8610
0.0277 0.6614 0.8610
0.3386 0.3663 0.8610
0.9723 0.6337 0.3610
0.9723 0.3386 0.1390
0.0277 0.3663 0.6390
0.6614 0.6337 0.1390
0.3333 0.6667 0.2500
0.6667 0.3333 0.7500
0.0000 0.0000 0.5000
0.0000 0.0000 0.0000
0.3333 0.6667 0.7500
0.6667 0.3333 0.2500